Zr3Cd, relaxed, DFT GGA-PBE; ΔE_f = 1.899 eV per atom; space group = Pm-3m, No. 221
1.0
5.3669 0.0000 0.0000
0.0000 5.3669 0.0000
0.0000 0.0000 5.3669
Zr Cd
3 1
Direct
0.0000 0.0000 0.5000 Zr
0.0000 0.5000 0.0000 Zr
0.5000 0.0000 0.0000 Zr
0.0000 0.0000 0.0000 Cd